Model 1:
Material: NdTlZnSe3
Method: DFT, PBE
State: relaxed

Values from the calculation:
For the density, the calculation gives 6.021 g/cm³.

Lattice parameters (Å, degrees): 14.941 4.214 11.404 90.00 90.00 90.00
Fractional coordinates of all 24 atoms:
Nd 0.026 0.250 0.158
Nd 0.474 0.750 0.658
Nd 0.526 0.250 0.342
Nd 0.974 0.750 0.842
Tl 0.240 0.250 0.464
Tl 0.260 0.750 0.964
Tl 0.740 0.250 0.036
Tl 0.760 0.750 0.536
Zn 0.018 0.750 0.403
Zn 0.482 0.250 0.903
Zn 0.518 0.750 0.097
Zn 0.982 0.250 0.597
Se 0.080 0.750 0.610
Se 0.100 0.250 0.921
Se 0.142 0.750 0.260
Se 0.358 0.250 0.760
Se 0.400 0.750 0.421
Se 0.420 0.250 0.110
Se 0.580 0.750 0.890
Se 0.600 0.250 0.579
Se 0.642 0.750 0.240
Se 0.858 0.250 0.740
Se 0.900 0.750 0.079
Se 0.920 0.250 0.390

Model 2:
Material: NdTlZnSe3
Method: DFT, PBE
State: relaxed

Values from the calculation:
For the density, the calculation gives 6.167 g/cm³.

Lattice parameters (Å, degrees): 7.690 7.690 11.283 90.00 90.00 148.31
Fractional coordinates of all 12 atoms:
Nd 0.000 0.000 0.000
Nd 0.000 0.000 0.500
Tl 0.249 0.751 0.750
Tl 0.751 0.249 0.250
Zn 0.463 0.537 0.250
Zn 0.537 0.463 0.750
Se 0.066 0.934 0.250
Se 0.369 0.631 0.070
Se 0.369 0.631 0.430
Se 0.631 0.369 0.570
Se 0.631 0.369 0.930
Se 0.934 0.066 0.750

Relative stability in kJ/mol of atoms, measured from the most stable structure: model 1 1.6; model 2 0.0

Model 1:
Material: LaNbAs
Method: DFT, PBE
State: relaxed

Values from the calculation:
For the density, the calculation gives 7.209 g/cm³.

Lattice parameters (Å, degrees): 6.562 6.562 6.562 90.00 90.00 90.00
Fractional coordinates of all 12 atoms:
La 0.000 0.000 0.000
La 0.000 0.500 0.500
La 0.500 0.000 0.500
La 0.500 0.500 0.000
Nb 0.250 0.250 0.250
Nb 0.250 0.750 0.750
Nb 0.750 0.250 0.750
Nb 0.750 0.750 0.250
As 0.000 0.000 0.500
As 0.000 0.500 0.000
As 0.500 0.000 0.000
As 0.500 0.500 0.500

Model 2:
Material: LaNbAs
Method: DFT, PBE
State: relaxed

Values from the calculation:
For the density, the calculation gives 5.697 g/cm³.

Lattice parameters (Å, degrees): 7.098 7.098 7.098 90.00 90.00 90.00
Fractional coordinates of all 12 atoms:
La 0.000 0.000 0.000
La 0.000 0.500 0.500
La 0.500 0.000 0.500
La 0.500 0.500 0.000
Nb 0.250 0.250 0.250
Nb 0.250 0.750 0.750
Nb 0.750 0.250 0.750
Nb 0.750 0.750 0.250
As 0.250 0.250 0.750
As 0.250 0.750 0.250
As 0.750 0.250 0.250
As 0.750 0.750 0.750

Relative stability in kJ/mol of atoms, measured from the most stable structure: model 1 0.0; model 2 54.6

Model 1:
Material: LuSbNO
Method: DFT, PBE
State: relaxed

Values from the calculation:
For the density, the calculation gives 7.297 g/cm³.

Lattice parameters (Å, degrees): 3.686 6.448 6.257 90.00 90.00 90.00
Fractional coordinates of all 8 atoms:
Lu 0.000 0.184 0.000
Lu 0.000 0.816 0.500
Sb 0.500 0.335 0.584
Sb 0.500 0.665 0.084
N 0.500 0.373 0.934
N 0.500 0.627 0.434
O 0.000 0.063 0.298
O 0.000 0.937 0.798

Model 2:
Material: LuSbNO
Method: DFT, PBE
State: relaxed

Values from the calculation:
For the density, the calculation gives 7.447 g/cm³.

Lattice parameters (Å, degrees): 4.361 4.361 7.663 90.00 90.00 90.00
Fractional coordinates of all 8 atoms:
Lu 0.250 0.250 0.089
Lu 0.750 0.750 0.911
Sb 0.250 0.750 0.500
Sb 0.750 0.250 0.500
N 0.250 0.250 0.369
N 0.750 0.750 0.631
O 0.250 0.750 0.000
O 0.750 0.250 0.000

Relative stability in kJ/mol of atoms, measured from the most stable structure: model 1 0.0; model 2 16.6

Model 1:
Material: ScHgPO
Method: DFT, PBE
State: relaxed

Values from the calculation:
For the density, the calculation gives 7.081 g/cm³.

Lattice parameters (Å, degrees): 5.418 5.418 4.674 90.00 90.00 90.00
Fractional coordinates of all 8 atoms:
Sc 0.250 0.750 0.000
Sc 0.750 0.250 0.000
Hg 0.250 0.250 0.489
Hg 0.750 0.750 0.511
P 0.250 0.250 0.990
P 0.750 0.750 0.010
O 0.250 0.750 0.500
O 0.750 0.250 0.500

Model 2:
Material: ScHgPO
Method: DFT, PBE
State: relaxed

Values from the calculation:
For the density, the calculation gives 6.438 g/cm³.

Lattice parameters (Å, degrees): 3.927 6.166 6.232 90.00 90.00 90.00
Fractional coordinates of all 8 atoms:
Sc 0.000 0.009 0.000
Sc 0.000 0.991 0.500
Hg 0.500 0.437 0.418
Hg 0.500 0.563 0.918
P 0.500 0.203 0.750
P 0.500 0.797 0.250
O 0.000 0.205 0.256
O 0.000 0.795 0.756

Relative stability in kJ/mol of atoms, measured from the most stable structure: model 1 28.7; model 2 0.0

Model 1:
Material: Cu2Ag3
Method: DFT, PBE
State: relaxed

Values from the calculation:
For the density, the calculation gives 9.599 g/cm³.

Lattice parameters (Å, degrees): 6.300 3.920 6.314 90.00 90.33 90.00
Fractional coordinates of all 10 atoms:
Cu 0.000 0.000 0.000
Cu 0.093 0.500 0.719
Cu 0.614 0.000 0.218
Cu 0.815 0.000 0.623
Ag 0.197 0.000 0.418
Ag 0.299 0.500 0.111
Ag 0.400 0.000 0.818
Ag 0.508 0.500 0.513
Ag 0.718 0.500 0.915
Ag 0.898 0.500 0.320

Model 2:
Material: Cu2Ag3
Method: DFT, PBE
State: relaxed

Values from the calculation:
For the density, the calculation gives 9.654 g/cm³.

Lattice parameters (Å, degrees): 9.780 9.780 5.741 98.28 98.28 16.58
Fractional coordinates of all 10 atoms:
Cu 0.000 0.000 0.000
Cu 0.002 0.002 0.454
Cu 0.203 0.203 0.075
Cu 0.412 0.412 0.185
Ag 0.203 0.203 0.585
Ag 0.415 0.415 0.683
Ag 0.594 0.594 0.777
Ag 0.601 0.601 0.270
Ag 0.808 0.808 0.371
Ag 0.809 0.809 0.892

Relative stability in kJ/mol of atoms, measured from the most stable structure: model 1 1.3; model 2 0.0

Model 1:
Material: MgCdTeO
Method: DFT, PBE
State: relaxed

Values from the calculation:
For the density, the calculation gives 4.736 g/cm³.

Lattice parameters (Å, degrees): 6.080 7.870 8.216 90.00 90.00 90.00
Fractional coordinates of all 16 atoms:
Mg 0.049 0.172 0.038
Mg 0.451 0.828 0.538
Mg 0.549 0.328 0.962
Mg 0.951 0.672 0.462
Cd 0.067 0.571 0.895
Cd 0.433 0.429 0.395
Cd 0.567 0.929 0.105
Cd 0.933 0.071 0.605
Te 0.233 0.895 0.842
Te 0.267 0.105 0.342
Te 0.733 0.605 0.158
Te 0.767 0.395 0.658
O 0.240 0.348 0.967
O 0.260 0.652 0.467
O 0.740 0.152 0.033
O 0.760 0.848 0.533

Model 2:
Material: MgCdTeO
Method: DFT, PBE
State: relaxed

Values from the calculation:
For the density, the calculation gives 5.445 g/cm³.

Lattice parameters (Å, degrees): 3.990 3.990 12.398 90.00 90.00 120.00
Fractional coordinates of all 8 atoms:
Mg 0.000 0.000 0.000
Mg 0.000 0.000 0.500
Cd 0.333 0.667 0.293
Cd 0.667 0.333 0.793
Te 0.333 0.667 0.620
Te 0.667 0.333 0.120
O 0.000 0.000 0.346
O 0.000 0.000 0.846

Relative stability in kJ/mol of atoms, measured from the most stable structure: model 1 0.0; model 2 28.1

Model 1:
Material: HfZrAuN
Method: DFT, PBE
State: relaxed

Values from the calculation:
For the density, the calculation gives 12.520 g/cm³.

Lattice parameters (Å, degrees): 3.229 17.164 4.601 90.00 90.00 90.00
Fractional coordinates of all 16 atoms:
Hf 0.000 0.106 0.250
Hf 0.000 0.894 0.750
Hf 0.500 0.394 0.750
Hf 0.500 0.606 0.250
Zr 0.000 0.287 0.250
Zr 0.000 0.713 0.750
Zr 0.500 0.213 0.750
Zr 0.500 0.787 0.250
Au 0.000 0.454 0.250
Au 0.000 0.546 0.750
Au 0.500 0.046 0.750
Au 0.500 0.954 0.250
N 0.000 0.306 0.750
N 0.000 0.694 0.250
N 0.500 0.194 0.250
N 0.500 0.806 0.750

Model 2:
Material: HfZrAuN
Method: DFT, PBE
State: relaxed

Values from the calculation:
For the density, the calculation gives 12.545 g/cm³.

Lattice parameters (Å, degrees): 3.246 17.264 4.542 90.00 90.00 90.00
Fractional coordinates of all 16 atoms:
Hf 0.000 0.212 0.250
Hf 0.000 0.788 0.750
Hf 0.500 0.288 0.750
Hf 0.500 0.712 0.250
Zr 0.000 0.393 0.250
Zr 0.000 0.607 0.750
Zr 0.500 0.107 0.750
Zr 0.500 0.893 0.250
Au 0.000 0.047 0.250
Au 0.000 0.953 0.750
Au 0.500 0.453 0.750
Au 0.500 0.547 0.250
N 0.000 0.201 0.750
N 0.000 0.799 0.250
N 0.500 0.299 0.250
N 0.500 0.701 0.750

Relative stability in kJ/mol of atoms, measured from the most stable structure: model 1 2.4; model 2 0.0

Model 1:
Material: GdTeNO
Method: DFT, PBE
State: relaxed

Values from the calculation:
For the density, the calculation gives 8.409 g/cm³.

Lattice parameters (Å, degrees): 5.054 5.054 4.869 90.00 90.00 90.00
Fractional coordinates of all 8 atoms:
Gd 0.250 0.750 0.000
Gd 0.750 0.250 0.000
Te 0.250 0.250 0.482
Te 0.750 0.750 0.518
N 0.250 0.250 0.904
N 0.750 0.750 0.096
O 0.250 0.750 0.500
O 0.750 0.250 0.500

Model 2:
Material: GdTeNO
Method: DFT, PBE
State: relaxed

Values from the calculation:
For the density, the calculation gives 7.151 g/cm³.

Lattice parameters (Å, degrees): 4.522 4.522 7.149 90.00 90.00 90.00
Fractional coordinates of all 8 atoms:
Gd 0.250 0.250 0.121
Gd 0.750 0.750 0.879
Te 0.250 0.750 0.500
Te 0.750 0.250 0.500
N 0.250 0.250 0.449
N 0.750 0.750 0.551
O 0.250 0.750 0.000
O 0.750 0.250 0.000

Relative stability in kJ/mol of atoms, measured from the most stable structure: model 1 30.0; model 2 0.0